DyNb | GGA-PBE | optimized geometry

Cell lengths 4.1538, 4.1538, 4.1538 Å; angles 60.00, 60.00, 60.00 degrees
Fractional coordinates of all 2 atoms:
Dy1 0.0000 0.0000 0.0000
Nb1 0.5000 0.5000 0.5000

## Properties
Relative energy among the computed polymorphs in eV/atom: 0.816
Energy of formation in eV/atom: 1.28
SG: Fm-3m (225)

LiZr3C | GGA-PBE | optimized geometry

Cell lengths 4.5770, 4.5770, 4.5770 Å; angles 90.00, 90.00, 90.00 degrees
Fractional coordinates of all 5 atoms:
Li1 0.0000 0.0000 0.0000
Zr1 0.0000 0.5000 0.5000
Zr2 0.5000 0.0000 0.5000
Zr3 0.5000 0.5000 0.0000
C1 0.5000 0.5000 0.5000

## Properties
Final energy in eV per atom: -7.4943
SG: Pm-3m (221)

GaOsPb2O6 | GGA-PBE | optimized geometry

Cell lengths 5.5904, 5.5904, 5.5904 Å; angles 60.00, 60.00, 60.00 degrees
Fractional coordinates of all 10 atoms:
Ga1 0.0000 0.0000 0.0000
Os1 0.5000 0.5000 0.5000
Pb1 0.2500 0.2500 0.2500
Pb2 0.7500 0.7500 0.7500
O1 0.2508 0.2508 0.7492
O2 0.2508 0.7492 0.2508
O3 0.2508 0.7492 0.7492
O4 0.7492 0.2508 0.2508
O5 0.7492 0.2508 0.7492
O6 0.7492 0.7492 0.2508

## Properties
Final energy in eV per atom: -6.2787
SG: Fm-3m (225)

NaFeB | GGA-PBE | optimized geometry

Cell lengths 3.8803, 3.8803, 3.8803 Å; angles 60.00, 60.00, 60.00 degrees
Fractional coordinates of all 3 atoms:
Na1 0.0000 0.0000 0.0000
Fe1 0.5000 0.5000 0.5000
B1 0.7500 0.7500 0.7500

## Properties
Final energy in eV per atom: -4.3033
SG: F-43m (216)

LiLaAu | GGA-PBE | optimized geometry

Cell lengths 4.9297, 4.9297, 4.9297 Å; angles 60.00, 60.00, 60.00 degrees
Fractional coordinates of all 3 atoms:
Li1 0.0000 0.0000 0.0000
La1 0.5000 0.5000 0.5000
Au1 0.7500 0.7500 0.7500

## Properties
Relative energy among the computed polymorphs in eV/atom: 0.144
SG: F-43m (216)

Tc2C | GGA-PBE | optimized geometry

Cell lengths 2.8739, 2.8739, 4.9288 Å; angles 90.00, 90.00, 120.00 degrees
Fractional coordinates of all 3 atoms:
Tc1 0.3333 0.6667 0.2637
Tc2 0.6667 0.3333 0.7363
C1 0.0000 0.0000 0.0000

## Properties
Relative energy among the computed polymorphs in eV/atom: 0.299
SG: P-3m1 (164)

TmAl2Os2 | GGA-PBE | optimized geometry

Cell lengths 6.0500, 6.0500, 6.0500 Å; angles 140.31, 140.31, 57.38 degrees
Fractional coordinates of all 5 atoms:
Tm1 0.0000 0.0000 0.0000
Al1 0.3805 0.3805 0.0000
Al2 0.6195 0.6195 0.0000
Os1 0.2500 0.7500 0.5000
Os2 0.7500 0.2500 0.5000

## Properties
Final energy in eV per atom: -7.0773
SG: I4/mmm (139)

CuTcNiPb | GGA-PBE | optimized geometry

Cell lengths 4.4490, 4.4490, 4.4490 Å; angles 60.00, 60.00, 60.00 degrees
Fractional coordinates of all 4 atoms:
Cu1 0.0000 0.0000 0.0000
Tc1 0.5000 0.5000 0.5000
Ni1 0.2500 0.2500 0.2500
Pb1 0.7500 0.7500 0.7500

## Properties
Relative energy among the computed polymorphs in eV/atom: 0.013
SG: F-43m (216)

Cd2NiBi | GGA-PBE | optimized geometry

Cell lengths 4.9166, 4.9166, 4.9166 Å; angles 60.00, 60.00, 60.00 degrees
Fractional coordinates of all 4 atoms:
Cd1 0.0000 0.0000 0.0000
Cd2 0.2500 0.2500 0.2500
Ni1 0.7500 0.7500 0.7500
Bi1 0.5000 0.5000 0.5000

## Properties
Final energy in eV per atom: -2.5713
SG: F-43m (216)

NaDyLu | GGA-PBE | optimized geometry

Cell lengths 5.2653, 5.2653, 5.2653 Å; angles 60.00, 60.00, 60.00 degrees
Fractional coordinates of all 3 atoms:
Na1 0.0000 0.0000 0.0000
Dy1 0.7500 0.7500 0.7500
Lu1 0.2500 0.2500 0.2500

## Properties
Relative energy among the computed polymorphs in eV/atom: 0.000
SG: F-43m (216)

TmSbN2O | GGA-PBE | optimized geometry

Cell lengths 7.7364, 8.0103, 8.0411 Å; angles 89.34, 89.78, 87.72 degrees
Fractional coordinates of all 40 atoms:
Tm1 0.0000 0.0000 0.0000
Tm2 0.0126 0.5001 0.0351
Tm3 0.4311 0.9595 0.5332
Tm4 0.4570 0.4209 0.5066
Tm5 0.4963 0.5283 0.0351
Tm6 0.5224 0.9896 0.0076
Tm7 0.9404 0.4490 0.5056
Tm8 0.9536 0.9486 0.5421
Sb1 0.2251 0.7344 0.2863
Sb2 0.2283 0.2066 0.2604
Sb3 0.2322 0.7045 0.7606
Sb4 0.2338 0.2365 0.7914
Sb5 0.7198 0.7124 0.7502
Sb6 0.7214 0.2443 0.7807
Sb7 0.7248 0.7429 0.2809
Sb8 0.7278 0.2148 0.2549
N1 0.1708 0.9769 0.3551
N2 0.2617 0.1241 0.0243
N3 0.2755 0.4729 0.8624
N4 0.3200 0.6787 0.5202
N5 0.4723 0.7753 0.1974
N6 0.4742 0.7794 0.8310
N7 0.4795 0.1682 0.7113
N8 0.4807 0.1743 0.3441
N9 0.6328 0.2703 0.0210
N10 0.6787 0.4758 0.6785
N11 0.6918 0.8249 0.5173
N12 0.7818 0.9724 0.1858
N13 0.9741 0.2681 0.8470
N14 0.9763 0.6521 0.3083
N15 0.9768 0.2973 0.2329
N16 0.9794 0.6800 0.6948
O1 0.1449 0.7558 0.0185
O2 0.1711 0.9754 0.7236
O3 0.1905 0.3041 0.5344
O4 0.2852 0.4703 0.2227
O5 0.6676 0.4792 0.3182
O6 0.7628 0.6453 0.0072
O7 0.7834 0.9732 0.8175
O8 0.8080 0.1927 0.5224

## Properties
Final energy in eV per atom: -7.0522
SG: P1 (1)

LiMg2Hg | GGA-PBE | optimized geometry

Cell lengths 3.7524, 4.5851, 4.5850 Å; angles 90.00, 90.00, 90.00 degrees
Fractional coordinates of all 4 atoms:
Li1 0.0000 0.0000 0.0000
Mg1 0.5000 0.0000 0.4993
Mg2 0.5000 0.5000 0.9961
Hg1 0.0000 0.5000 0.4953

## Properties
Final energy in eV per atom: -1.5400
SG: Pmm2 (25)